Record 1
Y2HgBr after structural relaxation, computed with PBE.

Lattice parameters (Å, degrees): 7.731 7.902 3.449 90.00 98.27 90.00
Atoms (fractional coordinates):
Y: 0.250 0.250 0.000
Y: 0.250 0.750 0.000
Y: 0.750 0.250 0.000
Y: 0.750 0.750 0.000
Hg: 0.000 0.000 0.500
Hg: 0.500 0.500 0.500
Br: 0.000 0.500 0.500
Br: 0.500 0.000 0.500

Properties
Formation energy (no corrections)   -0.59 eV/atom
Density of states at the Fermi level   0.8991 states/eV per atom
Polymorph energy (0 for the lowest one)   0.1354 eV/atom
Mass density   7.3 Mg/m³
Total magnetic moment   0.1231 μB/atom

Record 2
PmZrSc2 after structural relaxation, computed with PBE.

Lattice parameters (Å, degrees): 3.347 3.347 32.360 90.00 90.00 120.00
Atoms (fractional coordinates):
Pm: 0.000 0.000 0.000
Pm: 0.333 0.667 0.667
Pm: 0.667 0.333 0.333
Zr: 0.000 0.000 0.835
Zr: 0.333 0.667 0.501
Zr: 0.667 0.333 0.168
Sc: 0.000 0.000 0.245
Sc: 0.000 0.000 0.424
Sc: 0.333 0.667 0.091
Sc: 0.333 0.667 0.911
Sc: 0.667 0.333 0.578
Sc: 0.667 0.333 0.757

Properties
Density of states at the Fermi level   1.7221 states/eV per atom
Polymorph energy (0 for the lowest one)   0.0367 eV/atom
Mass density   5.2 Mg/m³
Formation energy from the elements   6.5 kJ per mole of atoms
Total magnetic moment   0.0000 μB/atom

Record 3
Dy4Ni2Ag5 after structural relaxation, computed with PBE.

Lattice parameters (Å, degrees): 7.277 3.647 8.952 90.00 96.06 90.00
Atoms (fractional coordinates):
Dy: 0.188 0.000 0.351
Dy: 0.226 0.000 0.934
Dy: 0.774 0.000 0.066
Dy: 0.812 0.000 0.649
Ni: 0.069 0.500 0.133
Ni: 0.931 0.500 0.867
Ag: 0.163 0.500 0.641
Ag: 0.454 0.500 0.175
Ag: 0.500 0.500 0.500
Ag: 0.546 0.500 0.825
Ag: 0.837 0.500 0.359

Properties
Density of states at the Fermi level   0.7634 states/eV per atom
Mass density   9.2 Mg/m³
Formation energy from the elements   -31.2 kJ per mole of atoms
Total magnetic moment   0.0000 μB/atom

Record 4
Zr4Pt2N after structural relaxation, computed with PBE.

Lattice parameters (Å, degrees): 8.894 8.894 8.894 60.00 60.00 60.00
Atoms (fractional coordinates):
Zr: 0.000 0.000 0.000
Zr: 0.000 0.000 0.500
Zr: 0.000 0.500 0.000
Zr: 0.193 0.193 0.557
Zr: 0.193 0.557 0.193
Zr: 0.193 0.557 0.557
Zr: 0.443 0.443 0.807
Zr: 0.443 0.807 0.443
Zr: 0.443 0.807 0.807
Zr: 0.500 0.000 0.000
Zr: 0.557 0.193 0.193
Zr: 0.557 0.193 0.557
Zr: 0.557 0.557 0.193
Zr: 0.807 0.443 0.443
Zr: 0.807 0.443 0.807
Zr: 0.807 0.807 0.443
Pt: 0.155 0.782 0.782
Pt: 0.218 0.218 0.218
Pt: 0.218 0.218 0.845
Pt: 0.218 0.845 0.218
Pt: 0.782 0.155 0.782
Pt: 0.782 0.782 0.155
Pt: 0.782 0.782 0.782
Pt: 0.845 0.218 0.218
N: 0.000 0.500 0.500
N: 0.500 0.000 0.500
N: 0.500 0.500 0.000
N: 0.500 0.500 0.500

Properties
Formation energy (no corrections)   -1.18 eV/atom
Density of states at the Fermi level   0.4390 states/eV per atom
Polymorph energy (0 for the lowest one)   0.0000 eV/atom
Mass density   10.3 Mg/m³
Total magnetic moment   0.0000 μB/atom

Record 5
ZrPa2NiS5 after structural relaxation, computed with PBE.

Lattice parameters (Å, degrees): 8.043 8.043 11.546 90.00 90.00 153.53
Atoms (fractional coordinates):
Zr: 0.181 0.819 0.500
Zr: 0.819 0.181 0.000
Pa: 0.113 0.887 0.828
Pa: 0.120 0.880 0.177
Pa: 0.880 0.120 0.677
Pa: 0.887 0.113 0.328
Ni: 0.442 0.558 0.902
Ni: 0.558 0.442 0.402
S: 0.015 0.985 0.498
S: 0.305 0.695 0.162
S: 0.307 0.693 0.839
S: 0.348 0.652 0.501
S: 0.496 0.504 0.232
S: 0.504 0.496 0.732
S: 0.652 0.348 0.001
S: 0.693 0.307 0.339
S: 0.695 0.305 0.662
S: 0.985 0.015 0.998

Properties
Formation energy (no corrections)   -1.46 eV/atom
Density of states at the Fermi level   1.0447 states/eV per atom
Mass density   7.7 Mg/m³
Total magnetic moment   0.0013 μB/atom

Record 6
Cu2RuAu2 after structural relaxation, computed with PBE.

Lattice parameters (Å, degrees): 7.454 7.454 2.740 90.00 90.00 90.00
Atoms (fractional coordinates):
Cu: 0.117 0.383 0.000
Cu: 0.383 0.883 0.000
Cu: 0.617 0.117 0.000
Cu: 0.883 0.617 0.000
Ru: 0.000 0.000 0.000
Ru: 0.500 0.500 0.000
Au: 0.180 0.680 0.500
Au: 0.320 0.180 0.500
Au: 0.680 0.820 0.500
Au: 0.820 0.320 0.500

Properties
Density of states at the Fermi level   0.8853 states/eV per atom
Mass density   13.6 Mg/m³
Formation energy from the elements   32.5 kJ per mole of atoms
Total magnetic moment   0.0000 μB/atom

Record 7
CaNb2Rh after structural relaxation, computed with PBE.

Lattice parameters (Å, degrees): 6.633 6.633 6.633 90.00 90.00 90.00
Atoms (fractional coordinates):
Ca: 0.000 0.000 0.000
Ca: 0.000 0.500 0.500
Ca: 0.500 0.000 0.500
Ca: 0.500 0.500 0.000
Nb: 0.250 0.250 0.250
Nb: 0.250 0.250 0.750
Nb: 0.250 0.750 0.250
Nb: 0.250 0.750 0.750
Nb: 0.750 0.250 0.250
Nb: 0.750 0.250 0.750
Nb: 0.750 0.750 0.250
Nb: 0.750 0.750 0.750
Rh: 0.000 0.000 0.500
Rh: 0.000 0.500 0.000
Rh: 0.500 0.000 0.000
Rh: 0.500 0.500 0.500

Properties
Density of states at the Fermi level   1.1138 states/eV per atom
Polymorph energy (0 for the lowest one)   0.0000 eV/atom
Mass density   7.5 Mg/m³
Formation energy from the elements   41.3 kJ per mole of atoms
Total magnetic moment   0.0000 μB/atom

What is the formula in the fifth record?
ZrPa2NiS5

Repeat the sixth record exactly.
Cu2RuAu2 after structural relaxation, computed with PBE.

Lattice parameters (Å, degrees): 7.454 7.454 2.740 90.00 90.00 90.00
Atoms (fractional coordinates):
Cu: 0.117 0.383 0.000
Cu: 0.383 0.883 0.000
Cu: 0.617 0.117 0.000
Cu: 0.883 0.617 0.000
Ru: 0.000 0.000 0.000
Ru: 0.500 0.500 0.000
Au: 0.180 0.680 0.500
Au: 0.320 0.180 0.500
Au: 0.680 0.820 0.500
Au: 0.820 0.320 0.500

Properties
Density of states at the Fermi level   0.8853 states/eV per atom
Mass density   13.6 Mg/m³
Formation energy from the elements   32.5 kJ per mole of atoms
Total magnetic moment   0.0000 μB/atom

Among the records above, which one has the lowest mass density?
PmZrSc2